Below is an optimized crystal structure of LaBe2Co, with properties calculated at the PBE level.

Computed properties:
- uncorrected energy (eV/atom) = -4.96
- space-group type = C2/m, No. 12
- crystal system = monoclinic
- formation energy from the elements (eV/atom) = -0.09

a = 3.7865 Å, b = 3.7865 Å, c = 5.5590 Å
α = 70.44°, β = 70.44°, γ = 59.87°
Closest atoms and distances in Å follow each position.
Element x y z (fractional)
Co: 0.2500 0.2500 0.2500  6 Be 2.21
La: 0.7500 0.7500 0.7500  8 Be 2.90-3.13
Be: 0.5615 0.5615 0.3153  3 Co 2.21, 3 Be 2.28-2.29
Be: 0.9385 0.9385 0.1847  3 Co 2.21, 3 Be 2.28-2.29

***

Below is an optimized crystal structure of La4BeCo, with properties calculated at the PBE level.

Computed properties:
- uncorrected energy (eV/atom) = -4.11
- space-group type = F-43m, No. 216
- crystal system = cubic
- formation energy from the elements (eV/atom) = 0.98

a = 6.2953 Å, b = 6.2953 Å, c = 6.2953 Å
α = 60.00°, β = 60.00°, γ = 60.00°
Closest atoms and distances in Å follow each position.
Element x y z (fractional)
Be: 0.7500 0.7500 0.7500  12 La 3.69, 4 Co 3.86
La: 0.3752 0.3752 0.8745  6 La 3.14-3.15
Co: 0.0000 0.0000 0.0000  12 La 3.69, 4 Be 3.86
La: 0.8745 0.3752 0.3752  6 La 3.14-3.15
La: 0.3752 0.3752 0.3752  6 La 3.14-3.15
La: 0.3752 0.8745 0.3752  6 La 3.14-3.15

***

Below is an optimized crystal structure of La2BeCo, with properties calculated at the PBE level.

Computed properties:
- uncorrected energy (eV/atom) = -4.77
- space-group type = I-42d, No. 122
- crystal system = tetragonal
- formation energy from the elements (eV/atom) = 0.41

a = 7.6931 Å, b = 7.6931 Å, c = 6.2787 Å
α = 52.22°, β = 52.22°, γ = 90.00°
Closest atoms and distances in Å follow each position.
Element x y z (fractional)
Be: 0.2500 0.7500 0.5000  8 La 3.07-3.42, 2 Co 3.14
La: 0.6697 0.1250 0.2500  2 Co 2.61
Co: 0.0000 0.0000 0.0000  4 La 2.61
La: 0.8750 0.9197 0.7500  2 Co 2.61
La: 0.0803 0.6250 0.2500  2 Co 2.61
Co: 0.7500 0.2500 0.5000  4 La 2.61
La: 0.3750 0.3303 0.7500  2 Co 2.61
Be: 0.5000 0.5000 0.0000  8 La 3.07-3.42, 2 Co 3.14

***

| no. | D(E_F) (states/eV/f.u.) |
| --- | --- |
| 1 | 3.3 |
| 2 | 9.4 |
| 3 | 4.6 |